Compound: AgAuSe2
Source: the Alexandria database
Functional: PBE
Structure: relaxed

Values from the calculation:
formation energy (no corrections) = 6.80 kcal/mol of atoms
E_tot = -2.980 eV per atom
density of states at the Fermi level = 0.34 states/eV per atom

Lattice parameters (Å, degrees): 2.8053 2.8053 10.6499 90.00 90.00 99.74
Positions (direct):
Ag (0.5000, 0.5000, 0.2500)
Au (0.5000, 0.5000, 0.7500)
Se (0.0000, 0.0000, 0.0268)
Se (0.0000, 0.0000, 0.4732)